# 1
Crystalline K4AgHg3 at its relaxed geometry, computed with PBE.

Properties
Energy of formation from the pure elements: -0.188 eV per atom
V: 312.7 Å³ per cell
Magnetization: 0.000 μB per atom

Cell lengths 4.944, 5.047, 12.532 Å; angles 90.00, 90.00, 90.00 degrees
Space group Pmm2 (No. 25)
Asymmetric unit:
K 0.000 0.000 0.000 [1 per cell]
K 0.000 0.500 0.487 [1 per cell]
K 0.500 0.000 0.702 [1 per cell]
K 0.500 0.500 0.208 [1 per cell]
Ag 0.000 0.000 0.288 [1 per cell]
Hg 0.000 0.500 0.778 [1 per cell]
Hg 0.500 0.000 0.412 [1 per cell]
Hg 0.500 0.500 0.919 [1 per cell]

=====

# 2
Crystalline KAgHg2 at its relaxed geometry, computed with PBE.

Properties
Energy of formation from the pure elements: -0.046 eV per atom
V: 116.0 Å³ per cell
Magnetization: 0.000 μB per atom
Distance to the lowest polymorph of the same formula: 75 meV per atom

Cell lengths 3.908, 3.908, 7.600 Å; angles 90.00, 90.00, 90.00 degrees
Space group P4mm (No. 99)
Asymmetric unit:
K 0.000 0.000 0.000 [1 per cell]
Ag 0.500 0.500 0.311 [1 per cell]
Hg 0.000 0.000 0.461 [1 per cell]
Hg 0.500 0.500 0.709 [1 per cell]

=====

# 3
Crystalline K3Ag5Hg12 at its relaxed geometry, computed with PBE.

Properties
Energy of formation from the pure elements: 0.057 eV per atom
V: 5837.3 Å³ per cell
Magnetization: 0.000 μB per atom

Cell lengths 18.005, 18.005, 18.005 Å; angles 90.00, 90.00, 90.00 degrees
Space group Ia-3d (No. 230)
Asymmetric unit:
K 0.000 0.250 0.125 [24 per cell]
Ag 0.000 0.000 0.000 [16 per cell]
Ag 0.000 0.250 0.375 [24 per cell]
Hg 0.063 0.067 0.625 [96 per cell]

=====

# 4
Crystalline K3Ag2Hg9 at its relaxed geometry, computed with PBE.

Properties
Energy of formation from the pure elements: -0.160 eV per atom
V: 818.0 Å³ per cell
Magnetization: 0.000 μB per atom

Cell lengths 4.927, 11.545, 14.380 Å; angles 90.00, 90.00, 90.00 degrees
Space group Immm (No. 71)
Asymmetric unit:
K 0.000 0.000 0.000 [2 per cell]
K 0.000 0.000 0.314 [4 per cell]
Ag 0.000 0.217 0.500 [4 per cell]
Hg 0.000 0.281 0.122 [8 per cell]
Hg 0.000 0.365 0.330 [8 per cell]
Hg 0.000 0.500 0.000 [2 per cell]

=====

# 5
Crystalline K3Ag2Hg2 at its relaxed geometry, computed with PBE.

Properties
Energy of formation from the pure elements: -0.120 eV per atom
V: 502.3 Å³ per cell
Magnetization: 0.000 μB per atom

Cell lengths 12.518, 4.841, 8.903 Å; angles 90.00, 111.43, 90.00 degrees
Space group C2/m (No. 12)
Asymmetric unit:
K 0.000 0.000 0.000 [2 per cell]
K 0.190 0.000 0.647 [4 per cell]
Ag 0.196 0.500 0.936 [4 per cell]
Hg 0.018 0.500 0.337 [4 per cell]

=====

# 6
Crystalline K4Ag2Hg at its relaxed geometry, computed with PBE.

Properties
Energy of formation from the pure elements: -0.038 eV per atom
V: 1190.0 Å³ per cell
Magnetization: 0.000 μB per atom
Distance to the lowest polymorph of the same formula: 0 meV per atom

Cell lengths 13.455, 9.794, 9.644 Å; angles 90.00, 110.56, 90.00 degrees
Space group Cm (No. 8)
Asymmetric unit:
K 0.000 0.000 0.000 [2 per cell]
K 0.004 0.000 0.512 [2 per cell]
K 0.008 0.500 0.010 [2 per cell]
K 0.014 0.500 0.510 [2 per cell]
K 0.285 0.256 0.147 [4 per cell]
K 0.295 0.257 0.654 [4 per cell]
Ag 0.086 0.253 0.799 [4 per cell]
Ag 0.208 0.500 0.858 [2 per cell]
Ag 0.219 0.500 0.364 [2 per cell]
Hg 0.213 0.000 0.859 [2 per cell]
Hg 0.217 0.000 0.365 [2 per cell]

=====

# 7
Crystalline KAgHg2 at its relaxed geometry, computed with PBE.

Properties
Energy of formation from the pure elements: -0.040 eV per atom
V: 232.5 Å³ per cell
Magnetization: 0.000 μB per atom
Distance to the lowest polymorph of the same formula: 82 meV per atom

Cell lengths 4.583, 5.199, 9.759 Å; angles 90.00, 90.00, 90.00 degrees
Space group Imm2 (No. 44)
Asymmetric unit:
K 0.000 0.000 0.000 [2 per cell]
Ag 0.000 0.500 0.238 [2 per cell]
Hg 0.000 0.000 0.540 [2 per cell]
Hg 0.000 0.500 0.768 [2 per cell]

=====

# 8
Crystalline KAg2Hg at its relaxed geometry, computed with PBE.

Properties
Energy of formation from the pure elements: 0.056 eV per atom
V: 566.2 Å³ per cell
Magnetization: 0.000 μB per atom
Distance to the lowest polymorph of the same formula: 96 meV per atom

Cell lengths 5.376, 5.376, 19.592 Å; angles 90.00, 90.00, 90.00 degrees
Space group I4_1/amd (No. 141, origin choice 2)
Asymmetric unit:
K 0.000 0.250 0.375 [4 per cell]
Ag 0.000 0.000 0.000 [8 per cell]
Hg 0.000 0.250 0.875 [4 per cell]